Compound: OsSe2BrF
Source: the Alexandria database
Functional: PBE-GGA
Structure: relaxed

Properties
Final energy ... -20.05 eV for the cell shown
Size of the total moment ... 0.000 μB per atom
DOS at the Fermi energy ... 1.280 states/eV/atom
Relative energy among the computed polymorphs ... 299 meV per atom

Cell: 4.7628 4.7628 5.1944 Å, 90.00 90.00 90.00°
With the nearest neighbours (Å) after each atom.
Fractional positions:
Os (0.0000, 0.0000, 0.0000)  4 Se 2.38, 2 Br 2.60
Se (0.0000, 0.5000, 0.0000)  2 Os 2.38
Se (0.5000, 0.0000, 0.0000)  2 Os 2.38
Br (0.0000, 0.0000, 0.5000)  2 Os 2.60
F (0.5000, 0.5000, 0.5000)  4 Br 3.37, 8 Se 3.52



Compound: TaOs2BrF
Source: the Alexandria database
Functional: PBE-GGA
Structure: relaxed

Properties
Final energy ... -30.80 eV for the cell shown
Size of the total moment ... 0.000 μB per atom
DOS at the Fermi energy ... 0.913 states/eV/atom

Cell: 4.0980 4.8598 4.0980 Å, 90.00 90.00 90.00°
With the nearest neighbours (Å) after each atom.
Fractional positions:
F (0.0000, 0.0000, 0.0000)  4 Os 2.05
Os (0.0000, 0.0000, 0.5000)  2 F 2.05
Os (0.5000, 0.0000, 0.0000)  2 F 2.05
Br (0.0000, 0.5000, 0.0000)  2 F 2.43
Ta (0.5000, 0.5000, 0.5000)  4 Br 2.90, 8 Os 3.18



Compound: Tl2OsBr4F2
Source: the Alexandria database
Functional: PBE-GGA
Structure: relaxed

Properties
Final energy ... -34.60 eV for the cell shown
Size of the total moment ... 0.222 μB per atom

Cell: 6.5287 6.9733 6.9733 Å, 65.21 72.68 72.68°
With the nearest neighbours (Å) after each atom.
Fractional positions:
Tl (0.2425, 0.6910, 0.6910)  1 F 3.12, 4 Br 3.35-3.42
Tl (0.7575, 0.3090, 0.3090)  1 F 3.12, 4 Br 3.35-3.42
Os (0.5000, 0.0000, 0.0000)  2 F 1.94
Br (0.3150, 0.6826, 0.1609)  1 Os 2.51
Br (0.6850, 0.8391, 0.3174)  1 Os 2.51
Br (0.6850, 0.3174, 0.8391)  1 Os 2.51
Br (0.3150, 0.1609, 0.6826)  1 Os 2.51
F (0.2553, 0.1534, 0.1534)  1 Os 1.94
F (0.7447, 0.8466, 0.8466)  1 Os 1.94



Compound: ZnOs2BrF
Source: the Alexandria database
Functional: PBE-GGA
Structure: relaxed

Properties
Final energy ... -19.58 eV for the cell shown
Size of the total moment ... 0.780 μB per atom
DOS at the Fermi energy ... 0.966 states/eV/atom

Cell: 4.2148 5.1951 4.2148 Å, 90.00 90.00 90.00°
With the nearest neighbours (Å) after each atom.
Fractional positions:
Zn (0.0000, 0.5000, 0.0000)  2 F 2.60
Os (0.0000, 0.0000, 0.5000)  2 F 2.11
Os (0.5000, 0.0000, 0.0000)  2 F 2.11
Br (0.5000, 0.5000, 0.5000)  4 Zn 2.98
F (0.0000, 0.0000, 0.0000)  4 Os 2.11



Compound: ZrOsBrF2
Source: the Alexandria database
Functional: PBE-GGA
Structure: relaxed

Properties
Final energy ... -23.11 eV for the cell shown
Size of the total moment ... 0.250 μB per atom
DOS at the Fermi energy ... 0.571 states/eV/atom

Cell: 4.1440 5.6926 4.1440 Å, 90.00 90.00 90.00°
With the nearest neighbours (Å) after each atom.
Fractional positions:
Os (0.5000, 0.5000, 0.5000)  4 Zr 2.93
Br (0.0000, 0.0000, 0.0000)  4 F 2.07
Zr (0.0000, 0.5000, 0.0000)  2 Br 2.85, 4 Os 2.93
F (0.0000, 0.0000, 0.5000)  2 Br 2.07
F (0.5000, 0.0000, 0.0000)  2 Br 2.07



Compound: P3BrF
Source: the Alexandria database
Functional: PBE-GGA
Structure: relaxed

Properties
Final energy ... -12.36 eV for the cell shown
Size of the total moment ... 0.000 μB per atom
DOS at the Fermi energy ... 0.706 states/eV/atom
Relative energy among the computed polymorphs ... 392 meV per atom

Cell: 4.8537 4.8537 4.8537 Å, 90.00 90.00 90.00°
With the nearest neighbours (Å) after each atom.
Fractional positions:
P (0.0000, 0.5000, 0.0000)  2 Br 2.43
P (0.0000, 0.0000, 0.5000)  2 Br 2.43
P (0.5000, 0.0000, 0.0000)  2 Br 2.43
Br (0.0000, 0.0000, 0.0000)  6 P 2.43
F (0.5000, 0.5000, 0.5000)  12 P 3.43



Compound: PBrF
Source: the Alexandria database
Functional: PBE-GGA
Structure: relaxed

Properties
Final energy ... -23.00 eV for the cell shown
Size of the total moment ... 0.000 μB per atom
Relative energy among the computed polymorphs ... 265 meV per atom

Cell: 7.7334 6.0839 8.0967 Å, 125.88 90.01 129.45°
With the nearest neighbours (Å) after each atom.
Fractional positions:
P (0.4918, 0.9836, 0.3526)  1 F 1.64
P (0.5082, 0.0164, 0.6474)  1 F 1.64
Br (0.1521, 0.3042, 0.3895)  1 P 2.22
Br (0.8479, 0.6958, 0.6105)  1 P 2.22
F (0.3950, 0.7900, 0.0791)  1 P 1.64
F (0.6050, 0.2100, 0.9209)  1 P 1.64



Compound: P2BrF
Source: the Alexandria database
Functional: PBE-GGA
Structure: relaxed

Properties
Final energy ... -28.33 eV for the cell shown
Size of the total moment ... 0.000 μB per atom
DOS at the Fermi energy ... 0.002 states/eV/atom
Relative energy among the computed polymorphs ... 0 meV per atom

Cell: 4.0576 4.0576 9.0691 Å, 77.07 77.07 90.00°
With the nearest neighbours (Å) after each atom.
Fractional positions:
P (0.2061, 0.1250, 0.2500)  2 P 2.45, 2 F 2.47, 2 Br 2.73
P (0.5439, 0.6250, 0.2500)  2 P 2.45, 2 F 2.47, 2 Br 2.73
P (0.3750, 0.7939, 0.7500)  2 P 2.45, 2 F 2.47, 2 Br 2.73
P (0.8750, 0.4561, 0.7500)  2 P 2.45, 2 F 2.47, 2 Br 2.73
Br (0.0000, 0.0000, 0.0000)  4 P 2.73, 4 F 2.87
Br (0.7500, 0.2500, 0.5000)  4 P 2.73, 4 F 2.87
F (0.5000, 0.5000, 0.0000)  4 P 2.47
F (0.2500, 0.7500, 0.5000)  4 P 2.47



Formation energy from raw total energies
In order: 339 1411 -911 1540 416 1483 -848 50
Unit: meV per atom